Material: Be2SiNiI
Method: DFT, PBE
State: relaxed

a b c (Å): 4.5877 4.5877 5.3067
angles (deg): 90.00 90.00 90.00
Space group P4/mmm (No. 123)
One atom of each set of equivalent atoms:
Be (0.0000, 0.5000, 0.0000) [2 per cell]
Si (0.0000, 0.0000, 0.5000) [1 per cell]
Ni (0.5000, 0.5000, 0.5000) [1 per cell]
I (0.0000, 0.0000, 0.0000) [1 per cell]

**Formation energy without anion corrections**: 952 kJ/mol of formula units
**Calculated total energy**: -2.067 eV/atom
**Spin magnetization**: 0.06 μB per cell

Material: BeNiTe2I
Method: DFT, PBE
State: relaxed

a b c (Å): 4.9643 4.9643 5.1107
angles (deg): 90.00 90.00 90.00
Space group P4/mmm (No. 123)
One atom of each set of equivalent atoms:
Be (0.0000, 0.0000, 0.0000) [1 per cell]
Ni (0.5000, 0.5000, 0.5000) [1 per cell]
Te (0.0000, 0.5000, 0.0000) [2 per cell]
I (0.0000, 0.0000, 0.5000) [1 per cell]

**Formation energy without anion corrections**: 397 kJ/mol of formula units
**Calculated total energy**: -2.645 eV/atom
**Energy above the lowest structure with this stoichiometry**: 47 meV/atom
**Spin magnetization**: 0.00 μB per cell

Material: BeNiTe2I
Method: DFT, PBE
State: relaxed

a b c (Å): 5.0612 5.0612 5.2398
angles (deg): 90.00 90.00 90.00
Space group P4/mmm (No. 123)
One atom of each set of equivalent atoms:
Be (0.0000, 0.0000, 0.0000) [1 per cell]
Ni (0.5000, 0.5000, 0.5000) [1 per cell]
Te (0.0000, 0.5000, 0.5000) [2 per cell]
I (0.5000, 0.5000, 0.0000) [1 per cell]

**Formation energy without anion corrections**: 375 kJ/mol of formula units
**Calculated total energy**: -2.691 eV/atom
**Energy above the lowest structure with this stoichiometry**: 0 meV/atom
**Spin magnetization**: 0.00 μB per cell

Material: Be2IO
Method: DFT, PBE
State: relaxed

a b c (Å): 5.9659 5.9659 5.9659
angles (deg): 90.00 90.00 90.00
Space group Fm-3m (No. 225)
One atom of each set of equivalent atoms:
Be (0.2500, 0.2500, 0.2500) [8 per cell]
I (0.0000, 0.0000, 0.0000) [4 per cell]
O (0.0000, 0.0000, 0.5000) [4 per cell]

**Formation energy without anion corrections**: 273 kJ/mol of formula units
**Calculated total energy**: -2.782 eV/atom
**Energy above the lowest structure with this stoichiometry**: 1312 meV/atom
**Spin magnetization**: 0.00 μB per cell

Material: BeI2O2
Method: DFT, PBE
State: relaxed

a b c (Å): 4.8190 4.8190 3.8556
angles (deg): 90.00 90.00 90.00
Space group P4/mmm (No. 123)
One atom of each set of equivalent atoms:
Be (0.0000, 0.0000, 0.0000) [1 per cell]
I (0.0000, 0.5000, 0.5000) [2 per cell]
O (0.5000, 0.5000, 0.0000) [1 per cell]
O (0.5000, 0.5000, 0.5000) [1 per cell]

**Formation energy without anion corrections**: 467 kJ/mol of formula units
**Calculated total energy**: -2.381 eV/atom
**Energy above the lowest structure with this stoichiometry**: 1137 meV/atom
**Spin magnetization**: 0.41 μB per cell

Material: BeI2O2
Method: DFT, PBE
State: relaxed

a b c (Å): 6.3012 6.3012 2.9189
angles (deg): 90.00 90.00 90.00
Space group P4/mmm (No. 123)
One atom of each set of equivalent atoms:
Be (0.0000, 0.0000, 0.0000) [1 per cell]
I (0.0000, 0.5000, 0.0000) [2 per cell]
O (0.0000, 0.0000, 0.5000) [1 per cell]
O (0.5000, 0.5000, 0.5000) [1 per cell]

**Formation energy without anion corrections**: -82 kJ/mol of formula units
**Calculated total energy**: -3.519 eV/atom
**Energy above the lowest structure with this stoichiometry**: 0 meV/atom
**Spin magnetization**: 2.64 μB per cell

Material: BeIO2
Method: DFT, PBE
State: relaxed

a b c (Å): 5.8151 5.8151 5.8151
angles (deg): 90.00 90.00 90.00
Space group Fm-3m (No. 225)
One atom of each set of equivalent atoms:
Be (0.0000, 0.0000, 0.0000) [4 per cell]
I (0.0000, 0.0000, 0.5000) [4 per cell]
O (0.2500, 0.2500, 0.2500) [8 per cell]

**Formation energy without anion corrections**: 276 kJ/mol of formula units
**Calculated total energy**: -3.082 eV/atom
**Energy above the lowest structure with this stoichiometry**: 1567 meV/atom
**Spin magnetization**: 0.00 μB per cell

Material: BeI2O2
Method: DFT, PBE
State: relaxed

a b c (Å): 4.0012 4.0012 5.7564
angles (deg): 90.00 90.00 90.00
Space group P4/mmm (No. 123)
One atom of each set of equivalent atoms:
Be (0.0000, 0.0000, 0.0000) [1 per cell]
I (0.0000, 0.0000, 0.5000) [1 per cell]
I (0.5000, 0.5000, 0.5000) [1 per cell]
O (0.0000, 0.5000, 0.0000) [2 per cell]

**Formation energy without anion corrections**: 183 kJ/mol of formula units
**Calculated total energy**: -2.969 eV/atom
**Energy above the lowest structure with this stoichiometry**: 550 meV/atom
**Spin magnetization**: 0.00 μB per cell

| no. | calculated density (Mg/m³) |
| --- | --- |
| 1 | 3.44 |
| 2 | 5.93 |
| 3 | 5.56 |
| 4 | 5.03 |
| 5 | 5.47 |
| 6 | 4.22 |
| 7 | 5.67 |
| 8 | 5.31 |